# Ca3Ac (PBE-GGA, relaxed)
data_Ca3Ac
_chemical_formula_sum 'Ca3 Ac1'
_cell_length_a 3.9034
_cell_length_b 6.3789
_cell_length_c 6.8111
_cell_angle_alpha 90.00
_cell_angle_beta 90.00
_cell_angle_gamma 90.00
_symmetry_space_group_name_H-M 'P m m 2'
_symmetry_Int_Tables_number 25
_symmetry_space_group_name_Hall 'P 2 -2'
loop_
_atom_site_label
_atom_site_type_symbol
_atom_site_fract_x
_atom_site_fract_y
_atom_site_fract_z
Ca1 Ca 0.0000 0.0000 0.0000
Ca2 Ca 0.0000 0.5000 0.3343
Ca3 Ca 0.5000 0.5000 0.8314
Ac1 Ac 0.5000 0.0000 0.5000
# - Size of the total moment: 0.00 μB per formula unit
# - Energy of formation: 0.04 eV per atom
# - DOS at the Fermi energy: 5.141 states/eV/cell

=====

# MnCrCdSe2 (PBE-GGA, relaxed)
data_MnCrCdSe2
_chemical_formula_sum 'Mn1 Cr1 Cd1 Se2'
_cell_length_a 5.3115
_cell_length_b 5.3115
_cell_length_c 4.9742
_cell_angle_alpha 90.00
_cell_angle_beta 90.00
_cell_angle_gamma 90.00
_symmetry_space_group_name_H-M 'P 4/m m m'
_symmetry_Int_Tables_number 123
_symmetry_space_group_name_Hall '-P 4 2'
loop_
_atom_site_label
_atom_site_type_symbol
_atom_site_fract_x
_atom_site_fract_y
_atom_site_fract_z
Mn1 Mn 0.0000 0.0000 0.0000
Cr1 Cr 0.5000 0.5000 0.0000
Cd1 Cd 0.0000 0.0000 0.5000
Se1 Se 0.0000 0.5000 0.5000
# - Formation energy from raw total energies: 1.007 eV/atom
# - Size of the total moment: 9.20 μB per formula unit
# - Polymorph energy (0 for the lowest one): 0 meV/atom
# - DOS at the Fermi energy: 4.028 states/eV/cell

=====

# KSiAs2Br (PBE-GGA, relaxed)
data_KSiAs2Br
_chemical_formula_sum 'K1 Si1 As2 Br1'
_cell_length_a 4.7293
_cell_length_b 4.7293
_cell_length_c 6.7146
_cell_angle_alpha 90.00
_cell_angle_beta 90.00
_cell_angle_gamma 90.00
_symmetry_space_group_name_H-M 'P 4/m m m'
_symmetry_Int_Tables_number 123
_symmetry_space_group_name_Hall '-P 4 2'
loop_
_atom_site_label
_atom_site_type_symbol
_atom_site_fract_x
_atom_site_fract_y
_atom_site_fract_z
K1 K 0.0000 0.0000 0.0000
Si1 Si 0.5000 0.5000 0.5000
As1 As 0.0000 0.5000 0.5000
Br1 Br 0.5000 0.5000 0.0000
# - Formation energy from raw total energies: -0.065 eV/atom
# - Size of the total moment: 0.00 μB per formula unit
# - Polymorph energy (0 for the lowest one): 0 meV/atom
# - DOS at the Fermi energy: 3.975 states/eV/cell

=====

# SrTaRu2 (PBE-GGA, relaxed)
data_SrTaRu2
_chemical_formula_sum 'Sr1 Ta1 Ru2'
_cell_length_a 3.1323
_cell_length_b 3.8950
_cell_length_c 7.0588
_cell_angle_alpha 90.00
_cell_angle_beta 90.00
_cell_angle_gamma 90.00
_symmetry_space_group_name_H-M 'P m m 2'
_symmetry_Int_Tables_number 25
_symmetry_space_group_name_Hall 'P 2 -2'
loop_
_atom_site_label
_atom_site_type_symbol
_atom_site_fract_x
_atom_site_fract_y
_atom_site_fract_z
Sr1 Sr 0.0000 0.0000 0.0000
Ta1 Ta 0.5000 0.5000 0.3906
Ru1 Ru 0.0000 0.0000 0.5085
Ru2 Ru 0.5000 0.5000 0.7226
# - Size of the total moment: 0.00 μB per formula unit
# - Polymorph energy (0 for the lowest one): 460 meV/atom
# - Energy of formation: 0.46 eV per atom
# - DOS at the Fermi energy: 5.591 states/eV/cell

=====

# MgNiH (PBE-GGA, relaxed)
data_MgNiH
_chemical_formula_sum 'Mg1 Ni1 H1'
_cell_length_a 2.9188
_cell_length_b 2.9188
_cell_length_c 4.2684
_cell_angle_alpha 90.00
_cell_angle_beta 90.00
_cell_angle_gamma 120.00
_symmetry_space_group_name_H-M 'P 3 m 1'
_symmetry_Int_Tables_number 156
_symmetry_space_group_name_Hall 'P 3 -2"'
loop_
_atom_site_label
_atom_site_type_symbol
_atom_site_fract_x
_atom_site_fract_y
_atom_site_fract_z
Mg1 Mg 0.0000 0.0000 0.0000
Ni1 Ni 0.6667 0.3333 0.4938
H1 H 0.3333 0.6667 0.5833
# - Size of the total moment: 0.00 μB per formula unit
# - Polymorph energy (0 for the lowest one): 100 meV/atom
# - DOS at the Fermi energy: 0.810 states/eV/cell

=====

# Tb2Dy2Ga4Sn (PBE-GGA, relaxed)
data_Tb2Dy2Ga4Sn
_chemical_formula_sum 'Tb4 Dy4 Ga8 Sn2'
_cell_length_a 7.0909
_cell_length_b 7.0909
_cell_length_c 9.2466
_cell_angle_alpha 90.00
_cell_angle_beta 90.00
_cell_angle_gamma 90.00
_symmetry_space_group_name_H-M 'I 4/m m m'
_symmetry_Int_Tables_number 139
_symmetry_space_group_name_Hall '-I 4 2'
loop_
_atom_site_label
_atom_site_type_symbol
_atom_site_fract_x
_atom_site_fract_y
_atom_site_fract_z
Tb1 Tb 0.0000 0.0000 0.1899
Dy1 Dy 0.0000 0.5000 0.2500
Ga1 Ga 0.2351 0.2351 0.0000
Sn1 Sn 0.0000 0.0000 0.5000
# - Size of the total moment: 0.00 μB per formula unit
# - Energy of formation: -0.17 eV per atom
# - DOS at the Fermi energy: 12.033 states/eV/cell

=====

# Ho3SiI3 (PBE-GGA, relaxed)
data_Ho3SiI3
_chemical_formula_sum 'Ho6 Si2 I6'
_cell_length_a 8.8057
_cell_length_b 4.2102
_cell_length_c 12.1475
_cell_angle_alpha 90.00
_cell_angle_beta 90.68
_cell_angle_gamma 90.00
_symmetry_space_group_name_H-M 'P 1 21/m 1'
_symmetry_Int_Tables_number 11
_symmetry_space_group_name_Hall '-P 2yb'
loop_
_atom_site_label
_atom_site_type_symbol
_atom_site_fract_x
_atom_site_fract_y
_atom_site_fract_z
Ho1 Ho 0.0956 0.2500 0.3864
Ho2 Ho 0.1189 0.2500 0.8373
Ho3 Ho 0.3167 0.7500 0.6217
Si1 Si 0.1157 0.2500 0.6166
I1 I 0.1334 0.2500 0.1194
I2 I 0.3703 0.7500 0.8755
I3 I 0.3853 0.7500 0.3687
# - Formation energy from raw total energies: -1.077 eV/atom
# - Size of the total moment: 0.00 μB per formula unit
# - DOS at the Fermi energy: 3.638 states/eV/cell

=====

# SmDyZnCo (PBE-GGA, relaxed)
data_SmDyZnCo
_chemical_formula_sum 'Sm2 Dy2 Zn2 Co2'
_cell_length_a 4.2877
_cell_length_b 3.8999
_cell_length_c 10.6097
_cell_angle_alpha 90.00
_cell_angle_beta 90.00
_cell_angle_gamma 90.00
_symmetry_space_group_name_H-M 'A m m 2'
_symmetry_Int_Tables_number 38
_symmetry_space_group_name_Hall 'A 2 -2'
loop_
_atom_site_label
_atom_site_type_symbol
_atom_site_fract_x
_atom_site_fract_y
_atom_site_fract_z
Sm1 Sm 0.0000 0.0000 0.0000
Dy1 Dy 0.5000 0.0000 0.7184
Zn1 Zn 0.5000 0.0000 0.4222
Co1 Co 0.0000 0.0000 0.2935
# - Size of the total moment: 0.00 μB per formula unit
# - Polymorph energy (0 for the lowest one): 0 meV/atom
# - Energy of formation: -0.20 eV per atom
# - DOS at the Fermi energy: 7.114 states/eV/cell